DFT (PBE) results for a geometry-optimized La5Tc2I2 structure.

Computed properties:
The calculation puts the magnetic moment at 0.0 μB per cell. The calculation puts the density of states at the Fermi level at 0.821 states/eV/atom. As for the energy relative to the elements, uncorrected: -0.466 eV/atom. The space group is No. 64.

a b c (Å): 9.5590 9.5590 7.8440
angles (deg): 90.00 90.00 52.89
Positions (direct):
La  0.0000  0.0000  0.0000
La  0.0581  0.7307  0.6441
La  0.2307  0.5581  0.1441
La  0.2693  0.9419  0.6441
La  0.4419  0.7693  0.1441
La  0.5000  0.5000  0.5000
La  0.5581  0.2307  0.8559
La  0.7307  0.0581  0.3559
La  0.7693  0.4419  0.8559
La  0.9419  0.2693  0.3559
Tc  0.1397  0.8603  0.3618
Tc  0.3603  0.6397  0.8618
Tc  0.6397  0.3603  0.1382
Tc  0.8603  0.1397  0.6382
I  0.2077  0.2077  0.0000
I  0.2923  0.2923  0.5000
I  0.7077  0.7077  0.5000
I  0.7923  0.7923  0.0000